Entry 1:
VASP calculation (PBE) on a relaxed KNa2CdPd crystal.

```
KNa2CdPd
1.0
5.544 0.000 0.000
0.000 5.544 0.000
0.000 0.000 5.361
K Na Cd Pd
1 2 1 1
direct
0.000 0.000 0.000
0.000 0.500 0.500
0.500 0.000 0.500
0.500 0.500 0.000
0.500 0.500 0.500
```

Computed properties:
- D(E_F): 0.426 states/eV/atom
- SG: P4/mmm, No. 123
- DFT total energy: -10.2 eV per cell
- Spin magnetization: 0.000 μB/cell
- Formation enthalpy at 0 K: -0.385 eV per formula unit

=====

Entry 2:
VASP calculation (PBE) on a relaxed Sc2CdTc crystal.

```
Sc2CdTc
1.0
3.606 0.000 0.000
0.000 3.606 0.000
0.000 0.000 6.147
Sc Cd Tc
2 1 1
direct
0.000 0.000 0.000
0.500 0.500 0.291
0.500 0.500 0.745
0.000 0.000 0.459
```

Computed properties:
- D(E_F): 0.701 states/eV/atom
- SG: P4mm, No. 99
- DFT total energy: -23.9 eV per cell
- Spin magnetization: 0.000 μB/cell
- Formation enthalpy at 0 K: 0.021 eV per formula unit

=====

Entry 3:
VASP calculation (PBE) on a relaxed K2Hg3 crystal.

```
K2Hg3
1.0
2.231 -15.712 0.000
2.231 15.712 0.000
0.000 0.000 5.220
K Hg
4 6
direct
0.072 0.928 0.750
0.208 0.792 0.250
0.792 0.208 0.750
0.928 0.072 0.250
0.326 0.674 0.250
0.378 0.622 0.750
0.475 0.525 0.750
0.525 0.475 0.250
0.622 0.378 0.250
0.674 0.326 0.750
```

Computed properties:
- D(E_F): 0.453 states/eV/atom
- SG: Cmcm, No. 63
- DFT total energy: -8.8 eV per cell
- Spin magnetization: 0.000 μB/cell
- Formation enthalpy at 0 K: -1.293 eV per formula unit
- Energy above the most stable polymorph in this dataset: 0.02 eV/f.u.

=====

Entry 4:
VASP calculation (PBE) on a relaxed CaLaZnIn crystal.

```
CaLaZnIn
1.0
0.000 3.835 3.835
3.835 0.000 3.835
3.835 3.835 0.000
Ca La Zn In
1 1 1 1
direct
0.000 0.000 0.000
0.500 0.500 0.500
0.750 0.750 0.750
0.250 0.250 0.250
```

Computed properties:
- D(E_F): 0.523 states/eV/atom
- SG: F-43m, No. 216
- DFT total energy: -12.6 eV per cell
- Spin magnetization: 0.000 μB/cell
- Formation enthalpy at 0 K: -1.653 eV per formula unit

=====

Entry 5:
VASP calculation (PBE) on a relaxed Eu3Sc crystal.

```
Eu3Sc
1.0
4.148 0.000 0.000
0.000 5.808 0.000
0.000 0.000 5.927
Eu Sc
3 1
direct
0.000 0.000 0.000
0.000 0.500 0.500
0.500 0.000 0.500
0.500 0.500 0.000
```

Computed properties:
- D(E_F): 0.871 states/eV/atom
- SG: Pmmm, No. 47
- DFT total energy: -36.4 eV per cell
- Spin magnetization: 7.130 μB/cell
- Formation enthalpy at 0 K: 0.722 eV per formula unit
- Energy above the most stable polymorph in this dataset: 0.10 eV/f.u.

=====

Entry 6:
VASP calculation (PBE) on a relaxed Ca2YOs crystal.

```
Ca2YOs
1.0
2.992 -5.434 0.000
2.992 5.434 0.000
-1.639 0.000 3.090
Ca Y Os
2 1 1
direct
0.000 0.500 0.000
0.500 0.000 0.000
0.000 0.000 0.500
0.500 0.500 0.500
```

Computed properties:
- D(E_F): 0.990 states/eV/atom
- SG: C2/m, No. 12
- DFT total energy: -19.5 eV per cell
- Spin magnetization: 0.000 μB/cell
- Formation enthalpy at 0 K: 2.216 eV per formula unit
- Energy above the most stable polymorph in this dataset: 1.87 eV/f.u.